KHfHg3 | SCAN | single point on PBEsol structure

V: 31.3 Å³/atom
Formation energy from the elements: 113.4 kJ/mol of atoms

Cell: 5.389 5.389 5.389 Å, 90.00 90.00 90.00°
Space group Pm-3m (No. 221)
Inequivalent atoms, fractional coordinates:
1 K 0.000 0.000 0.000 x1
2 Hf 0.500 0.500 0.500 x1
3 Hg 0.000 0.000 0.500 x3

KBiC3 | SCAN | single point on PBEsol structure

V: 19.7 Å³/atom
Formation energy from the elements: 278.1 kJ/mol of atoms

Cell: 4.622 4.622 4.622 Å, 90.00 90.00 90.00°
Space group Pm-3m (No. 221)
Inequivalent atoms, fractional coordinates:
1 K 0.000 0.000 0.000 x1
2 Bi 0.500 0.500 0.500 x1
3 C 0.000 0.500 0.500 x3

ZrSc2Ni | SCAN | single point on PBEsol structure

Energy above the most stable polymorph in this dataset: 0.049 eV/atom
V: 19.4 Å³/atom
Formation energy from the elements: -17.4 kJ/mol of atoms

Cell: 3.201 3.201 7.564 Å, 90.00 90.00 90.00°
Space group P4mm (No. 99)
Inequivalent atoms, fractional coordinates:
1 Zr 0.000 0.000 0.000 x1
2 Sc 0.000 0.000 0.402 x1
3 Sc 0.500 0.500 0.723 x1
4 Ni 0.500 0.500 0.212 x1

The highest formation energy from the elements belongs to which entry?
KBiC3